Record 1
A plane-wave DFT calculation with GGA-PBE was carried out for an optimized crystal structure of LaBrCl.

Cell: 7.146 7.146 7.146 Å, 90.00 90.00 90.00°
Space group F-43m (No. 216)
Unique sites:
1 La 0.000 0.000 0.000 [4 per cell]
2 Br 0.250 0.250 0.250 [4 per cell]
3 Cl 0.250 0.250 0.750 [4 per cell]

Values from the calculation:
- magnetization (μB per cell) = 4.3
- formation energy (no corrections) (eV/atom) = -1.769

Record 2
A plane-wave DFT calculation with GGA-PBE was carried out for an optimized crystal structure of Na2PdRhF8.

Cell: 4.990 6.748 5.098 Å, 90.00 92.90 90.00°
Space group P2/m (No. 10)
Unique sites:
1 Na 0.000 0.248 0.000 [2 per cell]
2 Pd 0.500 0.500 0.500 [1 per cell]
3 Rh 0.500 0.000 0.500 [1 per cell]
4 F 0.217 0.000 0.217 [2 per cell]
5 F 0.218 0.500 0.217 [2 per cell]
6 F 0.323 0.228 0.671 [4 per cell]

Values from the calculation:
- magnetization (μB per cell) = 1.1
- formation energy (no corrections) (eV/atom) = -1.892

Record 3
A plane-wave DFT calculation with GGA-PBE was carried out for an optimized crystal structure of TaCd2Br.

Cell: 3.121 3.121 9.439 Å, 90.00 90.00 90.00°
Space group P4mm (No. 99)
Unique sites:
1 Ta 0.000 0.000 0.000 [1 per cell]
2 Cd 0.000 0.000 0.541 [1 per cell]
3 Cd 0.500 0.500 0.784 [1 per cell]
4 Br 0.500 0.500 0.179 [1 per cell]

Values from the calculation:
- magnetization (μB per cell) = 0.0
- energy above the lowest structure with this stoichiometry (eV/atom) = 0.151
- formation energy (no corrections) (eV/atom) = 0.163

Record 4
A plane-wave DFT calculation with GGA-PBE was carried out for an optimized crystal structure of Ac2Ni4Sb3Ir.

Cell: 4.441 4.441 10.381 Å, 90.00 90.00 90.00°
Space group P-4m2 (No. 115)
Unique sites:
1 Ac 0.000 0.500 0.248 [2 per cell]
2 Ni 0.000 0.000 0.500 [1 per cell]
3 Ni 0.000 0.500 0.875 [2 per cell]
4 Ni 0.500 0.500 0.500 [1 per cell]
5 Sb 0.000 0.000 0.000 [1 per cell]
6 Sb 0.000 0.500 0.624 [2 per cell]
7 Ir 0.500 0.500 0.000 [1 per cell]

Values from the calculation:
- magnetization (μB per cell) = 0.0
- formation energy (no corrections) (eV/atom) = -0.528

Record 5
A plane-wave DFT calculation with GGA-PBE was carried out for an optimized crystal structure of CeZr4Sc3.

Cell: 3.156 4.989 12.108 Å, 90.00 90.00 90.00°
Space group Pmm2 (No. 25)
Unique sites:
1 Ce 0.000 0.000 0.000 [1 per cell]
2 Zr 0.000 0.000 0.252 [1 per cell]
3 Zr 0.000 0.500 0.608 [1 per cell]
4 Zr 0.500 0.000 0.741 [1 per cell]
5 Zr 0.500 0.500 0.119 [1 per cell]
6 Sc 0.000 0.500 0.860 [1 per cell]
7 Sc 0.500 0.000 0.494 [1 per cell]
8 Sc 0.500 0.500 0.367 [1 per cell]

Values from the calculation:
- magnetization (μB per cell) = 0.0
- ΔH_f (0 K) (eV/atom) = 0.056

Record 6
A plane-wave DFT calculation with GGA-PBE was carried out for an optimized crystal structure of RhPb2Se.

Cell: 4.621 4.621 8.659 Å, 90.00 90.00 90.00°
Space group I4/mmm (No. 139)
Unique sites:
1 Rh 0.000 0.000 0.000 [2 per cell]
2 Pb 0.000 0.500 0.250 [4 per cell]
3 Se 0.000 0.000 0.500 [2 per cell]

Values from the calculation:
- magnetization (μB per cell) = 0.0
- formation energy (no corrections) (eV/atom) = 0.169

Record 7
A plane-wave DFT calculation with GGA-PBE was carried out for an optimized crystal structure of TlHgAuSe2.

Cell: 5.848 6.890 7.788 Å, 90.00 99.81 90.00°
Space group P2/c (No. 13)
Unique sites:
1 Tl 0.000 0.082 0.250 [2 per cell]
2 Hg 0.500 0.495 0.750 [2 per cell]
3 Au 0.500 0.000 0.000 [2 per cell]
4 Se 0.262 0.296 0.971 [4 per cell]

Values from the calculation:
- magnetization (μB per cell) = 0.0
- formation energy (no corrections) (eV/atom) = -0.224

Record 8
A plane-wave DFT calculation with GGA-PBE was carried out for an optimized crystal structure of CrCdAs2Br.

Cell: 4.655 4.655 5.489 Å, 90.00 90.00 90.00°
Space group P4/mmm (No. 123)
Unique sites:
1 Cr 0.000 0.000 0.000 [1 per cell]
2 Cd 0.500 0.500 0.500 [1 per cell]
3 As 0.000 0.500 0.000 [2 per cell]
4 Br 0.000 0.000 0.500 [1 per cell]

Values from the calculation:
- magnetization (μB per cell) = 1.1
- energy above the lowest structure with this stoichiometry (eV/atom) = 0.000
- formation energy (no corrections) (eV/atom) = 0.207

Record 9
A plane-wave DFT calculation with GGA-PBE was carried out for an optimized crystal structure of SmPd5Au4.

Cell: 8.179 9.701 4.758 Å, 90.00 90.00 90.00°
Space group Pmmn (No. 59, origin choice 2)
Unique sites:
1 Sm 0.250 0.250 0.069 [2 per cell]
2 Pd 0.082 0.508 0.755 [8 per cell]
3 Pd 0.250 0.750 0.824 [2 per cell]
4 Au 0.005 0.250 0.571 [4 per cell]
5 Au 0.250 0.556 0.257 [4 per cell]

Values from the calculation:
- magnetization (μB per cell) = 0.0
- ΔH_f (0 K) (eV/atom) = -0.296

Record 10
A plane-wave DFT calculation with GGA-PBE was carried out for an optimized crystal structure of BeCdB.

Cell: 3.687 3.037 7.265 Å, 90.00 93.30 90.00°
Space group P2_1/m (No. 11)
Unique sites:
1 Be 0.132 0.250 0.082 [2 per cell]
2 Cd 0.276 0.750 0.632 [2 per cell]
3 B 0.387 0.750 0.977 [2 per cell]

Values from the calculation:
- magnetization (μB per cell) = 0.0
- energy above the lowest structure with this stoichiometry (eV/atom) = 0.000
- ΔH_f (0 K) (eV/atom) = 0.105

Record 11
A plane-wave DFT calculation with GGA-PBE was carried out for an optimized crystal structure of ZnBN2O.

Cell: 3.964 3.964 3.910 Å, 90.00 90.00 90.00°
Space group P4/mmm (No. 123)
Unique sites:
1 Zn 0.000 0.000 0.000 [1 per cell]
2 B 0.500 0.500 0.500 [1 per cell]
3 N 0.000 0.500 0.000 [2 per cell]
4 O 0.000 0.000 0.500 [1 per cell]

Values from the calculation:
- magnetization (μB per cell) = 4.0
- formation energy (no corrections) (eV/atom) = 2.277

Record 12
A plane-wave DFT calculation with GGA-PBE was carried out for an optimized crystal structure of Nd4Dy5Th4.

Cell: 12.991 12.991 5.078 Å, 90.00 90.00 90.00°
Space group I4/m (No. 87)
Unique sites:
1 Nd 0.152 0.233 0.000 [8 per cell]
2 Dy 0.000 0.000 0.000 [2 per cell]
3 Dy 0.038 0.805 0.500 [8 per cell]
4 Th 0.075 0.611 0.000 [8 per cell]

Values from the calculation:
- magnetization (μB per cell) = 0.0
- ΔH_f (0 K) (eV/atom) = 0.038

Record 13
A plane-wave DFT calculation with GGA-PBE was carried out for an optimized crystal structure of AcGdMg.

Cell: 5.6618 5.6618 3.6605 Å, 90.00 90.00 120.00°
Space group P3m1 (No. 156)
Unique sites:
1 Ac 0.0000 0.0000 0.0000 [1 per cell]
2 Gd 0.3333 0.6667 0.5504 [1 per cell]
3 Mg 0.6667 0.3333 0.4031 [1 per cell]

Values from the calculation:
- magnetization (μB per cell) = 7.5
- energy above the lowest structure with this stoichiometry (eV/atom) = 0.092
- ΔH_f (0 K) (eV/atom) = 0.053

Record 14
A plane-wave DFT calculation with GGA-PBE was carried out for an optimized crystal structure of ZrScCdTc.

Cell: 3.351 3.351 7.130 Å, 90.00 90.00 90.00°
Space group P4mm (No. 99)
Unique sites:
1 Zr 0.000 0.000 0.000 [1 per cell]
2 Sc 0.000 0.000 0.570 [1 per cell]
3 Cd 0.500 0.500 0.292 [1 per cell]
4 Tc 0.500 0.500 0.795 [1 per cell]

Values from the calculation:
- magnetization (μB per cell) = 0.0
- energy above the lowest structure with this stoichiometry (eV/atom) = 0.000
- ΔH_f (0 K) (eV/atom) = -0.314

Record 15
A plane-wave DFT calculation with GGA-PBE was carried out for an optimized crystal structure of TeSe.

Cell: 7.300 7.300 7.300 Å, 90.00 90.00 90.00°
Space group Fd-3m (No. 227, origin choice 2)
Unique sites:
1 Te 0.125 0.125 0.125 [8 per cell]
2 Se 0.125 0.125 0.625 [8 per cell]

Values from the calculation:
- magnetization (μB per cell) = 0.0
- formation energy (no corrections) (eV/atom) = 0.415

Record 16
A plane-wave DFT calculation with GGA-PBE was carried out for an optimized crystal structure of TcMo2W.

Cell: 3.150 3.150 6.305 Å, 90.00 90.00 90.00°
Space group P4mm (No. 99)
Unique sites:
1 Tc 0.000 0.000 0.000 [1 per cell]
2 Mo 0.000 0.000 0.497 [1 per cell]
3 Mo 0.500 0.500 0.735 [1 per cell]
4 W 0.500 0.500 0.240 [1 per cell]

Values from the calculation:
- magnetization (μB per cell) = 0.0
- energy above the lowest structure with this stoichiometry (eV/atom) = 0.000
- ΔH_f (0 K) (eV/atom) = 0.015

Record 17
A plane-wave DFT calculation with GGA-PBE was carried out for an optimized crystal structure of LaVH3.

Cell: 3.794 3.794 3.794 Å, 90.00 90.00 90.00°
Space group Pm-3m (No. 221)
Unique sites:
1 La 0.000 0.000 0.000 [1 per cell]
2 V 0.500 0.500 0.500 [1 per cell]
3 H 0.000 0.500 0.500 [3 per cell]

Values from the calculation:
- magnetization (μB per cell) = 1.0
- energy above the lowest structure with this stoichiometry (eV/atom) = 0.000

Record 18
A plane-wave DFT calculation with GGA-PBE was carried out for an optimized crystal structure of PmZn6Ag2.

Cell: 11.837 11.837 11.837 Å, 90.00 90.00 90.00°
Space group Fd-3m (No. 227, origin choice 2)
Unique sites:
1 Pm 0.125 0.125 0.125 [8 per cell]
2 Zn 0.125 0.125 0.375 [48 per cell]
3 Ag 0.000 0.000 0.500 [16 per cell]

Values from the calculation:
- magnetization (μB per cell) = 0.0
- ΔH_f (0 K) (eV/atom) = 0.291

Record 19
A plane-wave DFT calculation with GGA-PBE was carried out for an optimized crystal structure of KCr4Cu.

Cell: 7.086 7.086 7.086 Å, 90.00 90.00 90.00°
Space group F-43m (No. 216)
Unique sites:
1 K 0.000 0.000 0.000 [4 per cell]
2 Cr 0.125 0.125 0.625 [16 per cell]
3 Cu 0.250 0.250 0.250 [4 per cell]

Values from the calculation:
- magnetization (μB per cell) = 0.0
- ΔH_f (0 K) (eV/atom) = 1.265

Record 20
A plane-wave DFT calculation with GGA-PBE was carried out for an optimized crystal structure of Zr2ScFe.

Cell: 3.227 3.227 7.687 Å, 90.00 90.00 90.00°
Space group P4/mmm (No. 123)
Unique sites:
1 Zr 0.000 0.000 0.202 [2 per cell]
2 Sc 0.500 0.500 0.500 [1 per cell]
3 Fe 0.500 0.500 0.000 [1 per cell]

Values from the calculation:
- magnetization (μB per cell) = 2.2
- energy above the lowest structure with this stoichiometry (eV/atom) = 0.095
- ΔH_f (0 K) (eV/atom) = -0.004